# LaMg2Se, PBEsol geometry, DFT meta-GGA SCAN
data_LaMg2Se
_chemical_formula_sum 'La1 Mg2 Se1'
_cell_length_a 3.564
_cell_length_b 3.564
_cell_length_c 7.678
_cell_angle_alpha 90.00
_cell_angle_beta 90.00
_cell_angle_gamma 90.00
_space_group_name_H-M_alt 'P 4/m m m'
_space_group_IT_number 123
_space_group_name_Hall '-P 4 2'
loop_
_atom_site_label
_atom_site_fract_x
_atom_site_fract_y
_atom_site_fract_z
La1 0.000 0.000 0.000
Mg1 0.500 0.500 0.308
Se1 0.000 0.000 0.500
# calculated density: 4.54 g/cm³
# ΔE_f (raw): -0.533 eV per atom
# energy: -18.82 eV per atom



# Li4Fe3Sn3Sb2O16, PBEsol geometry, DFT meta-GGA SCAN
data_Li4Fe3Sn3Sb2O16
_chemical_formula_sum 'Li8 Fe6 Sn6 Sb4 O32'
_cell_length_a 10.527
_cell_length_b 6.103
_cell_length_c 9.828
_cell_angle_alpha 90.00
_cell_angle_beta 90.51
_cell_angle_gamma 90.00
_space_group_name_H-M_alt 'C 1 m 1'
_space_group_IT_number 8
_space_group_name_Hall 'C -2y'
loop_
_atom_site_label
_atom_site_fract_x
_atom_site_fract_y
_atom_site_fract_z
Li1 0.000 0.000 0.000
Li2 0.007 0.000 0.483
Li3 0.192 0.500 0.084
Li4 0.354 0.000 0.580
Fe1 0.346 0.500 0.767
Fe2 0.439 0.233 0.268
Sn1 0.099 0.251 0.768
Sn2 0.191 0.000 0.272
Sb1 0.196 0.500 0.490
Sb2 0.358 0.000 0.996
O1 0.007 0.000 0.667
O2 0.008 0.500 0.134
O3 0.020 0.000 0.183
O4 0.034 0.500 0.635
O5 0.104 0.248 0.393
O6 0.175 0.000 0.890
O7 0.191 0.500 0.874
O8 0.266 0.287 0.649
O9 0.282 0.223 0.139
O10 0.354 0.000 0.383
O11 0.354 0.500 0.383
O12 0.432 0.277 0.880
# calculated density: 5.53 g/cm³
# ΔE_f (raw): -1.729 eV per atom
# energy: -14.08 eV per atom



# K2PtO6, PBEsol geometry, DFT meta-GGA SCAN
data_K2PtO6
_chemical_formula_sum 'K6 Pt3 O18'
_cell_length_a 6.4341
_cell_length_b 6.4341
_cell_length_c 9.3482
_cell_angle_alpha 90.00
_cell_angle_beta 90.00
_cell_angle_gamma 120.00
_space_group_name_H-M_alt 'R -3'
_space_group_IT_number 148
_space_group_name_Hall '-R 3'
loop_
_atom_site_label
_atom_site_fract_x
_atom_site_fract_y
_atom_site_fract_z
K1 0.0000 0.0000 0.1510
Pt1 0.0000 0.0000 0.5000
O1 0.0499 0.7737 0.3704
# calculated density: 5.49 g/cm³
# ΔE_f (raw): -0.798 eV per atom
# energy: -14.60 eV per atom



# AlZnPt2, PBEsol geometry, DFT meta-GGA SCAN
data_AlZnPt2
_chemical_formula_sum 'Al1 Zn1 Pt2'
_cell_length_a 2.821
_cell_length_b 3.530
_cell_length_c 5.636
_cell_angle_alpha 90.00
_cell_angle_beta 90.00
_cell_angle_gamma 90.00
_space_group_name_H-M_alt 'P m m m'
_space_group_IT_number 47
_space_group_name_Hall '-P 2 2'
loop_
_atom_site_label
_atom_site_fract_x
_atom_site_fract_y
_atom_site_fract_z
Al1 0.000 0.000 0.000
Zn1 0.000 0.000 0.500
Pt1 0.500 0.500 0.247
# E_form: -0.951 eV/atom
# calculated density: 14.28 g/cm³
# energy: -41.36 eV per atom



# BiN2F2, PBEsol geometry, DFT meta-GGA SCAN
data_BiN2F2
_chemical_formula_sum 'Bi1 N2 F2'
_cell_length_a 3.605
_cell_length_b 3.605
_cell_length_c 4.338
_cell_angle_alpha 90.00
_cell_angle_beta 90.00
_cell_angle_gamma 90.00
_space_group_name_H-M_alt 'P 4/m m m'
_space_group_IT_number 123
_space_group_name_Hall '-P 4 2'
loop_
_atom_site_label
_atom_site_fract_x
_atom_site_fract_y
_atom_site_fract_z
Bi1 0.000 0.000 0.000
N1 0.000 0.500 0.500
F1 0.500 0.500 0.000
F2 0.500 0.500 0.500
# relative energy among the computed polymorphs: 2155 meV/atom
# calculated density: 8.10 g/cm³
# ΔE_f (raw): 1.090 eV per atom
# energy: -19.76 eV per atom



# La2MnHg, PBEsol geometry, DFT meta-GGA SCAN
data_La2MnHg
_chemical_formula_sum 'La4 Mn2 Hg2'
_cell_length_a 12.145
_cell_length_b 3.610
_cell_length_c 5.117
_cell_angle_alpha 90.00
_cell_angle_beta 114.79
_cell_angle_gamma 90.00
_space_group_name_H-M_alt 'C 1 m 1'
_space_group_IT_number 8
_space_group_name_Hall 'C -2y'
loop_
_atom_site_label
_atom_site_fract_x
_atom_site_fract_y
_atom_site_fract_z
La1 0.000 0.000 0.000
La2 0.198 0.000 0.697
Mn1 0.452 0.000 0.453
Hg1 0.269 0.500 0.268
# E_form: -0.312 eV/atom
# calculated density: 8.70 g/cm³
# energy: -43.47 eV per atom



# CdCuW, PBEsol geometry, DFT meta-GGA SCAN
data_CdCuW
_chemical_formula_sum 'Cd4 Cu4 W4'
_cell_length_a 6.082
_cell_length_b 6.082
_cell_length_c 6.082
_cell_angle_alpha 90.00
_cell_angle_beta 90.00
_cell_angle_gamma 90.00
_space_group_name_H-M_alt 'F -4 3 m'
_space_group_IT_number 216
_space_group_name_Hall 'F -4 2 3'
loop_
_atom_site_label
_atom_site_fract_x
_atom_site_fract_y
_atom_site_fract_z
Cd1 0.000 0.000 0.000
Cu1 0.000 0.000 0.500
W1 0.250 0.250 0.750
# relative energy among the computed polymorphs: 1094 meV/atom
# E_form: 1.554 eV/atom
# calculated density: 10.62 g/cm³
# energy: -36.88 eV per atom



# KInBr4, PBEsol geometry, DFT meta-GGA SCAN
data_KInBr4
_chemical_formula_sum 'K4 In4 Br16'
_cell_length_a 7.832
_cell_length_b 10.320
_cell_length_c 10.362
_cell_angle_alpha 90.00
_cell_angle_beta 90.00
_cell_angle_gamma 90.00
_space_group_name_H-M_alt 'P n n a'
_space_group_IT_number 52
_space_group_name_Hall '-P 2a 2bc'
loop_
_atom_site_label
_atom_site_fract_x
_atom_site_fract_y
_atom_site_fract_z
K1 0.179 0.250 0.250
In1 0.250 0.000 0.679
Br1 0.006 0.543 0.322
Br2 0.153 0.691 0.953
# calculated density: 3.76 g/cm³
# ΔE_f (raw): -1.289 eV per atom
# energy: -21.21 eV per atom



# Sr2LaPt, PBEsol geometry, DFT meta-GGA SCAN
data_Sr2LaPt
_chemical_formula_sum 'Sr4 La2 Pt2'
_cell_length_a 3.962
_cell_length_b 4.241
_cell_length_c 17.822
_cell_angle_alpha 90.00
_cell_angle_beta 90.00
_cell_angle_gamma 90.00
_space_group_name_H-M_alt 'A m m 2'
_space_group_IT_number 38
_space_group_name_Hall 'A 2 -2'
loop_
_atom_site_label
_atom_site_fract_x
_atom_site_fract_y
_atom_site_fract_z
Sr1 0.000 0.000 0.000
Sr2 0.500 0.000 0.323
La1 0.000 0.000 0.671
Pt1 0.500 0.000 0.148
# relative energy among the computed polymorphs: 0 meV/atom
# E_form: -0.651 eV/atom
# calculated density: 5.65 g/cm³
# energy: -40.11 eV per atom



# Li3AsAu, PBEsol geometry, DFT meta-GGA SCAN
data_Li3AsAu
_chemical_formula_sum 'Li3 As1 Au1'
_cell_length_a 4.655
_cell_length_b 4.655
_cell_length_c 4.655
_cell_angle_alpha 90.00
_cell_angle_beta 90.00
_cell_angle_gamma 90.00
_space_group_name_H-M_alt 'P m -3 m'
_space_group_IT_number 221
_space_group_name_Hall '-P 4 2 3'
loop_
_atom_site_label
_atom_site_fract_x
_atom_site_fract_y
_atom_site_fract_z
Li1 0.000 0.000 0.500
As1 0.000 0.000 0.000
Au1 0.500 0.500 0.500
# relative energy among the computed polymorphs: 0 meV/atom
# E_form: -0.227 eV/atom
# calculated density: 4.82 g/cm³
# energy: -19.53 eV per atom



# K2TeSe2, PBEsol geometry, DFT meta-GGA SCAN
data_K2TeSe2
_chemical_formula_sum 'K4 Te2 Se4'
_cell_length_a 7.755
_cell_length_b 7.755
_cell_length_c 4.821
_cell_angle_alpha 90.00
_cell_angle_beta 90.00
_cell_angle_gamma 90.00
_space_group_name_H-M_alt 'P 4/m b m'
_space_group_IT_number 127
_space_group_name_Hall '-P 4 2ab'
loop_
_atom_site_label
_atom_site_fract_x
_atom_site_fract_y
_atom_site_fract_z
K1 0.149 0.351 0.000
Te1 0.000 0.000 0.500
Se1 0.165 0.665 0.500
# calculated density: 4.17 g/cm³
# ΔE_f (raw): -0.863 eV per atom
# energy: -19.68 eV per atom



# TaTl3Br, PBEsol geometry, DFT meta-GGA SCAN
data_TaTl3Br
_chemical_formula_sum 'Ta1 Tl3 Br1'
_cell_length_a 5.696
_cell_length_b 5.696
_cell_length_c 5.696
_cell_angle_alpha 90.00
_cell_angle_beta 90.00
_cell_angle_gamma 90.00
_space_group_name_H-M_alt 'P m -3 m'
_space_group_IT_number 221
_space_group_name_Hall '-P 4 2 3'
loop_
_atom_site_label
_atom_site_fract_x
_atom_site_fract_y
_atom_site_fract_z
Ta1 0.000 0.000 0.000
Tl1 0.000 0.500 0.500
Br1 0.500 0.500 0.500
# calculated density: 7.85 g/cm³
# ΔE_f (raw): 1.310 eV per atom
# energy: -59.31 eV per atom